[1]
The following is a PBE calculation of an optimized crystal structure of LiBeMoIr, from OQMD via LeMat-Bulk.

For the raw total energy, the calculation gives -24.8 eV/f.u.

It has space group F-43m (No. 216), with a = 5.7570 Å, b = 5.7570 Å, c = 5.7570 Å, α = 90.00°, β = 90.00° and γ = 90.00°. The asymmetric unit holds Li at (0.0000, 0.0000, 0.0000), Be at (0.0000, 0.0000, 0.5000), Mo at (0.2500, 0.2500, 0.2500) and Ir at (0.2500, 0.2500, 0.7500).

***

[2]
The following is a PBE calculation of an optimized crystal structure of LiBeMoIr, from OQMD via LeMat-Bulk.

For the raw total energy, the calculation gives -26.3 eV/f.u.

It has space group F-43m (No. 216), with a = 5.8745 Å, b = 5.8745 Å, c = 5.8745 Å, α = 90.00°, β = 90.00° and γ = 90.00°. The asymmetric unit holds Li at (0.0000, 0.0000, 0.0000), Be at (0.2500, 0.2500, 0.7500), Mo at (0.2500, 0.2500, 0.2500) and Ir at (0.0000, 0.0000, 0.5000).